# PBE-GGA Tb4Ho5Zn, relaxed
# Raw total energy: -4.3228 eV per atom
data_Tb4Ho5Zn
_chemical_formula_sum 'Tb4 Ho5 Zn1'
_cell_length_a 3.539
_cell_length_b 3.539
_cell_length_c 23.718
_cell_angle_alpha 90.00
_cell_angle_beta 90.00
_cell_angle_gamma 90.00
_symmetry_space_group_name_H-M 'P 4/m m m'
_symmetry_Int_Tables_number 123
_symmetry_space_group_name_Hall '-P 4 2'
loop_
_atom_site_label
_atom_site_type_symbol
_atom_site_fract_x
_atom_site_fract_y
_atom_site_fract_z
Tb1 Tb 0.000 0.000 0.106
Tb2 Tb 0.000 0.000 0.317
Ho1 Ho 0.500 0.500 0.000
Ho2 Ho 0.500 0.500 0.212
Ho3 Ho 0.500 0.500 0.425
Zn1 Zn 0.000 0.000 0.500